! Al7Ni5 (GGA-PBE, relaxed); values from VASP
&SYSTEM
  ibrav = 0, nat = 24, ntyp = 2
/
ATOMIC_SPECIES
Al 26.98 Al.upf
Ni 58.69 Ni.upf
ATOMIC_POSITIONS crystal
Al 0.000 0.000 0.079
Al 0.000 0.000 0.421
Al 0.000 0.000 0.579
Al 0.000 0.000 0.921
Al 0.165 0.330 0.250
Al 0.165 0.835 0.250
Al 0.330 0.165 0.750
Al 0.333 0.667 0.115
Al 0.333 0.667 0.385
Al 0.667 0.333 0.615
Al 0.667 0.333 0.885
Al 0.670 0.835 0.250
Al 0.835 0.165 0.750
Al 0.835 0.670 0.750
Ni 0.000 0.500 0.000
Ni 0.000 0.500 0.500
Ni 0.333 0.667 0.669
Ni 0.333 0.667 0.831
Ni 0.500 0.000 0.000
Ni 0.500 0.000 0.500
Ni 0.500 0.500 0.000
Ni 0.500 0.500 0.500
Ni 0.667 0.333 0.169
Ni 0.667 0.333 0.331
CELL_PARAMETERS angstrom
4.851 0.000 0.000
-2.425 4.201 0.000
0.000 0.000 16.262
! Crystal system = hexagonal
! Energy relative to the lowest polymorph listed for this composition = 0.116 eV/atom
! SG = P6_3/mmc

***

! CoTcTe (GGA-PBE, relaxed); values from VASP
&SYSTEM
  ibrav = 0, nat = 3, ntyp = 3
/
ATOMIC_SPECIES
Co 58.93 Co.upf
Tc 98.00 Tc.upf
Te 127.60 Te.upf
ATOMIC_POSITIONS crystal
Co 0.000 0.000 0.000
Tc 0.250 0.250 0.250
Te 0.500 0.500 0.500
CELL_PARAMETERS angstrom
0.000 3.006 3.006
3.006 0.000 3.006
3.006 3.006 0.000
! Crystal system = cubic
! Energy relative to the lowest polymorph listed for this composition = 0.000 eV/atom
! SG = F-43m

***

! BaUAl (GGA-PBE, relaxed); values from VASP
&SYSTEM
  ibrav = 0, nat = 3, ntyp = 3
/
ATOMIC_SPECIES
Ba 137.33 Ba.upf
U 238.03 U.upf
Al 26.98 Al.upf
ATOMIC_POSITIONS crystal
Ba 0.000 0.000 0.000
U 0.500 0.500 0.500
Al 0.250 0.250 0.250
CELL_PARAMETERS angstrom
0.000 3.781 3.781
3.781 0.000 3.781
3.781 3.781 0.000
! Crystal system = cubic
! Energy relative to the lowest polymorph listed for this composition = 0.000 eV/atom
! SG = F-43m

***

! SmZnGa2Pd2 (GGA-PBE, relaxed); values from VASP
&SYSTEM
  ibrav = 0, nat = 6, ntyp = 4
/
ATOMIC_SPECIES
Sm 150.36 Sm.upf
Zn 65.41 Zn.upf
Ga 69.72 Ga.upf
Pd 106.42 Pd.upf
ATOMIC_POSITIONS crystal
Sm 0.000 0.000 0.000
Zn 0.500 0.500 0.500
Ga 0.000 0.500 0.500
Ga 0.500 0.000 0.500
Pd 0.333 0.667 0.000
Pd 0.667 0.333 0.000
CELL_PARAMETERS angstrom
2.681 -4.648 0.000
2.681 4.648 0.000
0.000 0.000 4.322
! Crystal system = orthorhombic
! SG = Cmmm

***

! NdGdGe2 (GGA-PBE, relaxed); values from VASP
&SYSTEM
  ibrav = 0, nat = 8, ntyp = 3
/
ATOMIC_SPECIES
Nd 144.24 Nd.upf
Gd 157.25 Gd.upf
Ge 72.64 Ge.upf
ATOMIC_POSITIONS crystal
Nd 0.089 0.911 0.750
Nd 0.911 0.089 0.250
Gd 0.252 0.748 0.250
Gd 0.748 0.252 0.750
Ge 0.350 0.650 0.750
Ge 0.472 0.528 0.750
Ge 0.528 0.472 0.250
Ge 0.650 0.350 0.250
CELL_PARAMETERS angstrom
2.179 -10.116 0.000
2.179 10.116 0.000
0.000 0.000 4.516
! Crystal system = orthorhombic
! Energy relative to the lowest polymorph listed for this composition = 0.000 eV/atom
! SG = Cmcm

***

! Tm3Mg3Zn2Ag (GGA-PBE, relaxed); values from VASP
&SYSTEM
  ibrav = 0, nat = 9, ntyp = 4
/
ATOMIC_SPECIES
Tm 168.93 Tm.upf
Mg 24.30 Mg.upf
Zn 65.41 Zn.upf
Ag 107.87 Ag.upf
ATOMIC_POSITIONS crystal
Tm 0.000 0.584 0.000
Tm 0.416 0.416 0.000
Tm 0.584 0.000 0.000
Mg 0.000 0.249 0.500
Mg 0.249 0.000 0.500
Mg 0.751 0.751 0.500
Zn 0.333 0.667 0.500
Zn 0.667 0.333 0.500
Ag 0.000 0.000 0.000
CELL_PARAMETERS angstrom
7.466 0.000 0.000
-3.733 6.466 0.000
0.000 0.000 4.154
! Crystal system = hexagonal
! SG = P-62m

***

! NbB (GGA-PBE, relaxed); values from VASP
&SYSTEM
  ibrav = 0, nat = 2, ntyp = 2
/
ATOMIC_SPECIES
Nb 92.91 Nb.upf
B 10.81 B.upf
ATOMIC_POSITIONS crystal
Nb 0.000 0.000 0.000
B 0.250 0.250 0.250
CELL_PARAMETERS angstrom
0.000 2.504 2.504
2.504 0.000 2.504
2.504 2.504 0.000
! Crystal system = cubic
! SG = F-43m

***

! Gd2CoSiI2 (GGA-PBE, relaxed); values from VASP
&SYSTEM
  ibrav = 0, nat = 6, ntyp = 4
/
ATOMIC_SPECIES
Gd 157.25 Gd.upf
Co 58.93 Co.upf
Si 28.09 Si.upf
I 126.90 I.upf
ATOMIC_POSITIONS crystal
Gd 0.000 0.000 0.000
Gd 0.000 0.000 0.315
Co 0.667 0.333 0.159
Si 0.333 0.667 0.155
I 0.333 0.667 0.497
I 0.667 0.333 0.819
CELL_PARAMETERS angstrom
4.067 0.000 0.000
-2.034 3.522 0.000
0.000 0.000 11.786
! Crystal system = trigonal
! SG = P3m1

***

! CoB2Mo2 (GGA-PBE, relaxed); values from VASP
&SYSTEM
  ibrav = 0, nat = 5, ntyp = 3
/
ATOMIC_SPECIES
Co 58.93 Co.upf
B 10.81 B.upf
Mo 95.94 Mo.upf
ATOMIC_POSITIONS crystal
Co 0.000 0.000 0.000
B 0.203 0.797 0.000
B 0.797 0.203 0.000
Mo 0.362 0.638 0.500
Mo 0.638 0.362 0.500
CELL_PARAMETERS angstrom
1.524 -5.411 0.000
1.524 5.411 0.000
0.000 0.000 3.190
! Crystal system = orthorhombic
! SG = Cmmm

***

! ZrBe2Pb (GGA-PBE, relaxed); values from VASP
&SYSTEM
  ibrav = 0, nat = 4, ntyp = 3
/
ATOMIC_SPECIES
Zr 91.22 Zr.upf
Be 9.01 Be.upf
Pb 207.20 Pb.upf
ATOMIC_POSITIONS crystal
Zr 0.000 0.000 0.000
Be 0.250 0.250 0.250
Be 0.500 0.500 0.500
Pb 0.750 0.750 0.750
CELL_PARAMETERS angstrom
0.000 3.305 3.305
3.305 0.000 3.305
3.305 3.305 0.000
! Crystal system = cubic
! SG = F-43m

***

! YNbCuGe (GGA-PBE, relaxed); values from VASP
&SYSTEM
  ibrav = 0, nat = 4, ntyp = 4
/
ATOMIC_SPECIES
Y 88.91 Y.upf
Nb 92.91 Nb.upf
Cu 63.55 Cu.upf
Ge 72.64 Ge.upf
ATOMIC_POSITIONS crystal
Y 0.000 0.000 0.000
Nb 0.250 0.250 0.250
Cu 0.750 0.750 0.750
Ge 0.500 0.500 0.500
CELL_PARAMETERS angstrom
0.000 3.323 3.323
3.323 0.000 3.323
3.323 3.323 0.000
! Crystal system = cubic
! Energy relative to the lowest polymorph listed for this composition = 0.000 eV/atom
! SG = F-43m

***

! InAu15 (GGA-PBE, relaxed); values from VASP
&SYSTEM
  ibrav = 0, nat = 32, ntyp = 2
/
ATOMIC_SPECIES
In 114.82 In.upf
Au 196.97 Au.upf
ATOMIC_POSITIONS crystal
In 0.125 0.250 0.345
In 0.875 0.750 0.655
Au 0.120 0.250 0.708
Au 0.124 0.250 0.798
Au 0.125 0.250 0.067
Au 0.125 0.250 0.157
Au 0.125 0.250 0.247
Au 0.125 0.250 0.888
Au 0.125 0.250 0.978
Au 0.370 0.750 0.292
Au 0.374 0.750 0.202
Au 0.375 0.750 0.022
Au 0.375 0.750 0.112
Au 0.375 0.750 0.663
Au 0.375 0.750 0.753
Au 0.375 0.750 0.843
Au 0.375 0.750 0.933
Au 0.625 0.250 0.067
Au 0.625 0.250 0.157
Au 0.625 0.250 0.247
Au 0.625 0.250 0.337
Au 0.625 0.250 0.888
Au 0.625 0.250 0.978
Au 0.626 0.250 0.798
Au 0.630 0.250 0.708
Au 0.875 0.750 0.022
Au 0.875 0.750 0.112
Au 0.875 0.750 0.753
Au 0.875 0.750 0.843
Au 0.875 0.750 0.933
Au 0.876 0.750 0.202
Au 0.880 0.750 0.292
CELL_PARAMETERS angstrom
5.833 0.000 0.000
0.000 2.915 0.000
-0.003 0.000 46.413
! Crystal system = monoclinic
! Energy relative to the lowest polymorph listed for this composition = 0.015 eV/atom
! SG = P2_1/m

***

! La2PrCo2B2N3 (GGA-PBE, relaxed); values from VASP
&SYSTEM
  ibrav = 0, nat = 10, ntyp = 5
/
ATOMIC_SPECIES
La 138.91 La.upf
Pr 140.91 Pr.upf
Co 58.93 Co.upf
B 10.81 B.upf
N 14.01 N.upf
ATOMIC_POSITIONS crystal
La 0.130 0.130 0.000
La 0.870 0.870 0.000
Pr 0.500 0.500 0.000
Co 0.250 0.750 0.500
Co 0.750 0.250 0.500
B 0.301 0.301 0.000
B 0.699 0.699 0.000
N 0.000 0.000 0.000
N 0.375 0.375 0.000
N 0.625 0.625 0.000
CELL_PARAMETERS angstrom
-1.852 1.852 10.028
1.852 -1.852 10.028
1.852 1.852 -10.028
! Crystal system = tetragonal
! SG = I4/mmm

***

! Er3As2O (GGA-PBE, relaxed); values from VASP
&SYSTEM
  ibrav = 0, nat = 6, ntyp = 3
/
ATOMIC_SPECIES
Er 167.26 Er.upf
As 74.92 As.upf
O 16.00 O.upf
ATOMIC_POSITIONS crystal
Er 0.000 0.000 0.000
Er 0.333 0.667 0.639
Er 0.667 0.333 0.361
As 0.333 0.667 0.184
As 0.667 0.333 0.816
O 0.000 0.000 0.500
CELL_PARAMETERS angstrom
3.861 0.000 0.000
-1.931 3.344 0.000
0.000 0.000 9.363
! Crystal system = trigonal
! SG = P-3m1

***

! La2AlNi9H12 (GGA-PBE, relaxed); values from VASP
&SYSTEM
  ibrav = 0, nat = 24, ntyp = 4
/
ATOMIC_SPECIES
La 138.91 La.upf
Al 26.98 Al.upf
Ni 58.69 Ni.upf
H 1.01 H.upf
ATOMIC_POSITIONS crystal
La 0.000 0.000 0.250
La 0.000 0.000 0.750
Al 0.500 0.500 0.000
Ni 0.000 0.500 0.000
Ni 0.000 0.500 0.500
Ni 0.341 0.659 0.247
Ni 0.341 0.659 0.753
Ni 0.500 0.000 0.000
Ni 0.500 0.000 0.500
Ni 0.500 0.500 0.500
Ni 0.659 0.341 0.247
Ni 0.659 0.341 0.753
H 0.125 0.295 0.000
H 0.179 0.349 0.500
H 0.181 0.819 0.500
H 0.196 0.804 0.000
H 0.295 0.125 0.000
H 0.349 0.179 0.500
H 0.651 0.821 0.500
H 0.705 0.875 0.000
H 0.804 0.196 0.000
H 0.819 0.181 0.500
H 0.821 0.651 0.500
H 0.875 0.705 0.000
CELL_PARAMETERS angstrom
2.902 -4.681 0.000
2.902 4.681 0.000
0.000 0.000 7.767
! Crystal system = orthorhombic
! SG = Cmmm

***

! SrLiTbTe3 (GGA-PBE, relaxed); values from VASP
&SYSTEM
  ibrav = 0, nat = 12, ntyp = 4
/
ATOMIC_SPECIES
Sr 87.62 Sr.upf
Li 6.94 Li.upf
Tb 158.93 Tb.upf
Te 127.60 Te.upf
ATOMIC_POSITIONS crystal
Sr 0.133 0.133 0.067
Sr 0.867 0.867 0.933
Li 0.484 0.484 0.297
Li 0.516 0.516 0.703
Tb 0.166 0.166 0.587
Tb 0.834 0.834 0.413
Te 0.000 0.000 0.500
Te 0.322 0.322 0.176
Te 0.333 0.333 0.646
Te 0.500 0.500 0.000
Te 0.667 0.667 0.354
Te 0.678 0.678 0.824
CELL_PARAMETERS angstrom
9.598 -2.215 0.000
9.598 2.215 0.000
-2.222 0.000 8.965
! Crystal system = monoclinic
! Energy relative to the lowest polymorph listed for this composition = 0.004 eV/atom
! SG = C2/m

***

! Na4AgAs2Au (GGA-PBE, relaxed); values from VASP
&SYSTEM
  ibrav = 0, nat = 8, ntyp = 4
/
ATOMIC_SPECIES
Na 22.99 Na.upf
Ag 107.87 Ag.upf
As 74.92 As.upf
Au 196.97 Au.upf
ATOMIC_POSITIONS crystal
Na 0.027 0.669 0.755
Na 0.331 0.973 0.245
Na 0.669 0.027 0.755
Na 0.973 0.331 0.245
Ag 0.500 0.500 0.500
As 0.204 0.204 0.748
As 0.796 0.796 0.252
Au 0.500 0.500 0.000
CELL_PARAMETERS angstrom
3.564 -4.387 0.000
3.564 4.387 0.000
-0.070 0.000 5.658
! Crystal system = monoclinic
! SG = C2/m

***

! LuScCu2 (GGA-PBE, relaxed); values from VASP
&SYSTEM
  ibrav = 0, nat = 4, ntyp = 3
/
ATOMIC_SPECIES
Lu 174.97 Lu.upf
Sc 44.96 Sc.upf
Cu 63.55 Cu.upf
ATOMIC_POSITIONS crystal
Lu 0.000 0.000 0.000
Sc 0.750 0.750 0.750
Cu 0.250 0.250 0.250
Cu 0.500 0.500 0.500
CELL_PARAMETERS angstrom
0.000 3.234 3.234
3.234 0.000 3.234
3.234 3.234 0.000
! Crystal system = cubic
! DFT formation energy = -6 meV per atom
! SG = F-43m

***

! ScZnGa2Cu4 (GGA-PBE, relaxed); values from VASP
&SYSTEM
  ibrav = 0, nat = 8, ntyp = 4
/
ATOMIC_SPECIES
Sc 44.96 Sc.upf
Zn 65.41 Zn.upf
Ga 69.72 Ga.upf
Cu 63.55 Cu.upf
ATOMIC_POSITIONS crystal
Sc 0.000 0.000 0.000
Zn 0.500 0.500 0.500
Ga 0.000 0.000 0.500
Ga 0.500 0.500 0.000
Cu 0.000 0.500 0.267
Cu 0.000 0.500 0.733
Cu 0.500 0.000 0.267
Cu 0.500 0.000 0.733
CELL_PARAMETERS angstrom
4.257 0.000 0.000
0.000 4.257 0.000
0.000 0.000 6.218
! Crystal system = tetragonal
! SG = P4/mmm

***

! HfBi2B (GGA-PBE, relaxed); values from VASP
&SYSTEM
  ibrav = 0, nat = 4, ntyp = 3
/
ATOMIC_SPECIES
Hf 178.49 Hf.upf
Bi 208.98 Bi.upf
B 10.81 B.upf
ATOMIC_POSITIONS crystal
Hf 0.000 0.000 0.000
Bi 0.250 0.250 0.250
Bi 0.500 0.500 0.500
B 0.750 0.750 0.750
CELL_PARAMETERS angstrom
0.000 3.597 3.597
3.597 0.000 3.597
3.597 3.597 0.000
! Crystal system = cubic
! SG = F-43m

***

! Ho2Sb2O5 (GGA-PBE, relaxed); values from VASP
&SYSTEM
  ibrav = 0, nat = 9, ntyp = 3
/
ATOMIC_SPECIES
Ho 164.93 Ho.upf
Sb 121.76 Sb.upf
O 16.00 O.upf
ATOMIC_POSITIONS crystal
Ho 0.000 0.000 0.244
Ho 0.000 0.000 0.756
Sb 0.500 0.500 0.000
Sb 0.500 0.500 0.500
O 0.000 0.000 0.000
O 0.000 0.500 0.360
O 0.000 0.500 0.640
O 0.500 0.000 0.360
O 0.500 0.000 0.640
CELL_PARAMETERS angstrom
3.814 0.000 0.000
0.000 3.814 0.000
0.000 0.000 9.354
! Crystal system = tetragonal
! Energy relative to the lowest polymorph listed for this composition = 0.000 eV/atom
! SG = P4/mmm

***

! YAuO2 (GGA-PBE, relaxed); values from VASP
&SYSTEM
  ibrav = 0, nat = 8, ntyp = 3
/
ATOMIC_SPECIES
Y 88.91 Y.upf
Au 196.97 Au.upf
O 16.00 O.upf
ATOMIC_POSITIONS crystal
Y 0.000 0.000 0.000
Y 0.000 0.000 0.500
Au 0.333 0.667 0.250
Au 0.667 0.333 0.750
O 0.333 0.667 0.083
O 0.333 0.667 0.417
O 0.667 0.333 0.583
O 0.667 0.333 0.917
CELL_PARAMETERS angstrom
3.547 0.000 0.000
-1.774 3.072 0.000
0.000 0.000 12.188
! Crystal system = hexagonal
! SG = P6_3/mmc

***

! HoInRe (GGA-PBE, relaxed); values from VASP
&SYSTEM
  ibrav = 0, nat = 3, ntyp = 3
/
ATOMIC_SPECIES
Ho 164.93 Ho.upf
In 114.82 In.upf
Re 186.21 Re.upf
ATOMIC_POSITIONS crystal
Ho 0.000 0.000 0.000
In 0.750 0.750 0.750
Re 0.250 0.250 0.250
CELL_PARAMETERS angstrom
0.000 3.378 3.378
3.378 0.000 3.378
3.378 3.378 0.000
! Crystal system = cubic
! SG = F-43m

***

Number 1: E_tot -110.59 eV for the cell shown. Number 2: E_tot -19.55 eV for the cell shown. Number 3: E_tot -14.14 eV for the cell shown. Number 4: E_tot -26.68 eV for the cell shown. Number 5: E_tot -42.07 eV for the cell shown. Number 6: E_tot -25.83 eV for the cell shown. Number 7: E_tot -15.64 eV for the cell shown. Number 8: E_tot -31.28 eV for the cell shown. Number 9: E_tot -43.90 eV for the cell shown. Number 10: E_tot -16.85 eV for the cell shown. Number 11: E_tot -23.66 eV for the cell shown. Number 12: E_tot -102.73 eV for the cell shown. Number 13: E_tot -77.34 eV for the cell shown. Number 14: E_tot -38.81 eV for the cell shown. Number 15: E_tot -106.29 eV for the cell shown. Number 16: E_tot -52.37 eV for the cell shown. Number 17: E_tot -24.18 eV for the cell shown. Number 18: E_tot -18.31 eV for the cell shown. Number 19: E_tot -30.08 eV for the cell shown. Number 20: E_tot -20.35 eV for the cell shown. Number 21: E_tot -60.92 eV for the cell shown. Number 22: E_tot -57.06 eV for the cell shown. Number 23: E_tot -16.20 eV for the cell shown.